[1]
Material: KSc2Cr
Method: DFT, PBE-GGA
State: relaxed

Results
crystal system: orthorhombic
space group: No. 47
E: -4.962 eV/atom
V: 26.75 Å³/atom
total moment: 4.39 μB per formula unit

Geometry as extended XYZ:
```
4
Lattice="3.447 0.000 0.000 0.000 5.561 0.000 0.000 0.000 5.582" Properties=species:S:1:pos:R:3 pbc="T T T"
K 0.000 0.000 0.000
Sc 0.000 2.781 2.791
Sc 1.723 0.000 2.791
Cr 1.723 2.781 0.000
```

[2]
Material: KScCr2
Method: DFT, PBE-GGA
State: relaxed

Results
crystal system: tetragonal
space group: No. 122
E: -5.168 eV/atom
V: 26.63 Å³/atom
total moment: 7.62 μB per formula unit

Geometry as extended XYZ:
```
8
Lattice="-2.259 2.259 10.433 2.259 -2.259 10.433 2.259 2.259 -10.433" Properties=species:S:1:pos:R:3 pbc="T T T"
K 0.000 0.000 0.000
K 0.000 2.259 5.216
Sc 2.259 0.000 5.216
Sc 0.000 0.000 10.433
Cr 1.130 1.338 -2.608
Cr 3.180 1.130 2.608
Cr 1.130 0.921 7.824
Cr -0.921 1.130 13.041
```